A relaxed structure of YMg2AuO, computed with GGA-PBE.

The value obtained for the uncorrected formation energy is -636 kJ/mol of formula units.

Structure (CIF):
```
data_YMg2AuO
_cell_length_a 4.2687
_cell_length_b 4.2687
_cell_length_c 4.8012
_cell_angle_alpha 90.00
_cell_angle_beta 90.00
_cell_angle_gamma 90.00
_symmetry_space_group_name_H-M 'P 4/m m m'
_symmetry_Int_Tables_number 123
_symmetry_space_group_name_Hall '-P 4 2'
loop_
_atom_site_label
_atom_site_type_symbol
_atom_site_fract_x
_atom_site_fract_y
_atom_site_fract_z
_atom_site_occupancy
Y1 Y 0.0000 0.0000 0.0000 1
Mg1 Mg 0.0000 0.5000 0.5000 1
Au1 Au 0.5000 0.5000 0.0000 1
O1 O 0.0000 0.0000 0.5000 1
```



A relaxed structure of MgZnAu2O6, computed with GGA-PBE.

The value obtained for the uncorrected formation energy is -665 kJ/mol of formula units.

Structure (CIF):
```
data_MgZnAu2O6
_cell_length_a 10.1474
_cell_length_b 9.8230
_cell_length_c 5.0423
_cell_angle_alpha 90.00
_cell_angle_beta 90.70
_cell_angle_gamma 90.00
_symmetry_space_group_name_H-M 'C 1 2/c 1'
_symmetry_Int_Tables_number 15
_symmetry_space_group_name_Hall '-C 2yc'
loop_
_atom_site_label
_atom_site_type_symbol
_atom_site_fract_x
_atom_site_fract_y
_atom_site_fract_z
_atom_site_occupancy
Mg1 Mg 0.0000 0.1054 0.2500 1
Zn1 Zn 0.0000 0.3949 0.7500 1
Au1 Au 0.2492 0.1465 0.7284 1
O1 O 0.1071 0.0589 0.9215 1
O2 O 0.1098 0.4430 0.0684 1
O3 O 0.1133 0.2500 0.4959 1
```



A relaxed structure of MgOsAu2, computed with GGA-PBE.

For the total energy, the calculation gives -4.62 eV/atom.

Structure (CIF):
```
data_MgOsAu2
_cell_length_a 2.8650
_cell_length_b 2.8650
_cell_length_c 8.1098
_cell_angle_alpha 90.00
_cell_angle_beta 90.00
_cell_angle_gamma 90.00
_symmetry_space_group_name_H-M 'P 4/m m m'
_symmetry_Int_Tables_number 123
_symmetry_space_group_name_Hall '-P 4 2'
loop_
_atom_site_label
_atom_site_type_symbol
_atom_site_fract_x
_atom_site_fract_y
_atom_site_fract_z
_atom_site_occupancy
Mg1 Mg 0.0000 0.0000 0.0000 1
Os1 Os 0.0000 0.0000 0.5000 1
Au1 Au 0.5000 0.5000 0.2501 1
```